Density functional theory data (PBE) for TiSnF3 after structural relaxation.

Space group: Pm-3m (221)
Distance to the lowest polymorph of the same formula (meV/atom): 778.4
Energy relative to the elements, uncorrected (meV/atom): -1243.6

Lattice parameters (Å, degrees): 4.6450 4.6450 4.6450 90.00 90.00 90.00
Each line ends with the local moment (μB).
Fractional coordinates of all 5 atoms:
1 F 0.0000 0.5000 0.0000  0.02
2 F 0.0000 0.0000 0.5000  0.02
3 F 0.5000 0.0000 0.0000  0.01
4 Sn 0.0000 0.0000 0.0000  0.02
5 Ti 0.5000 0.5000 0.5000  2.25